Entry 1:
# LiCdRu

An optimized crystal structure of LiCdRu (PBE, Alexandria).

Values from the calculation:
ΔE_f, eV per formula unit: 0.23
Energy above the most stable polymorph in this dataset, eV/atom: 0.032

Cell lengths 4.403, 4.403, 5.634 Å; angles 90.00, 90.00, 120.00 degrees
Atoms (fractional coordinates):
Li  0.000  0.000  0.000
Li  0.333  0.667  0.357
Cd  0.333  0.667  0.830
Cd  0.667  0.333  0.154
Ru  0.000  0.000  0.523
Ru  0.667  0.333  0.637

***

Entry 2:
# LiScCdRu

An optimized crystal structure of LiScCdRu (PBE, Alexandria).

Values from the calculation:
ΔE_f, eV per formula unit: -0.64

Cell lengths 4.606, 4.606, 4.606 Å; angles 60.00, 60.00, 60.00 degrees
Atoms (fractional coordinates):
Li  0.000  0.000  0.000
Sc  0.750  0.750  0.750
Cd  0.250  0.250  0.250
Ru  0.500  0.500  0.500

***

Entry 3:
# LiSmCdRu

An optimized crystal structure of LiSmCdRu (PBE, Alexandria).

Values from the calculation:
ΔE_f, eV per formula unit: -0.29

Cell lengths 4.811, 4.811, 4.811 Å; angles 60.00, 60.00, 60.00 degrees
Atoms (fractional coordinates):
Li  0.000  0.000  0.000
Sm  0.750  0.750  0.750
Cd  0.250  0.250  0.250
Ru  0.500  0.500  0.500

***

Entry 4:
# LiThCdRu

An optimized crystal structure of LiThCdRu (PBE, Alexandria).

Values from the calculation:
ΔE_f, eV per formula unit: -0.43

Cell lengths 4.847, 4.847, 4.847 Å; angles 60.00, 60.00, 60.00 degrees
Atoms (fractional coordinates):
Li  0.000  0.000  0.000
Th  0.250  0.250  0.250
Cd  0.750  0.750  0.750
Ru  0.500  0.500  0.500

***

Entry 5:
# LiTmCdRu

An optimized crystal structure of LiTmCdRu (PBE, Alexandria).

Values from the calculation:
ΔE_f, eV per formula unit: -0.57

Cell lengths 4.721, 4.721, 4.721 Å; angles 60.00, 60.00, 60.00 degrees
Atoms (fractional coordinates):
Li  0.000  0.000  0.000
Tm  0.750  0.750  0.750
Cd  0.250  0.250  0.250
Ru  0.500  0.500  0.500

***

Entry 6:
# LiCdRu2W

An optimized crystal structure of LiCdRu2W (PBE, Alexandria).

Values from the calculation:
ΔE_f, eV per formula unit: 5.53

Cell lengths 4.262, 4.262, 4.083 Å; angles 90.00, 90.00, 90.00 degrees
Atoms (fractional coordinates):
Li  0.000  0.000  0.000
Cd  0.000  0.000  0.500
Ru  0.000  0.500  0.000
Ru  0.500  0.000  0.000
W  0.500  0.500  0.500

***

Entry 7:
# LiYCdRu

An optimized crystal structure of LiYCdRu (PBE, Alexandria).

Values from the calculation:
ΔE_f, eV per formula unit: -0.44

Cell lengths 4.766, 4.766, 4.766 Å; angles 60.00, 60.00, 60.00 degrees
Atoms (fractional coordinates):
Li  0.000  0.000  0.000
Y  0.250  0.250  0.250
Cd  0.750  0.750  0.750
Ru  0.500  0.500  0.500

***

Entry 8:
# LiZnCdRu

An optimized crystal structure of LiZnCdRu (PBE, Alexandria).

Values from the calculation:
ΔE_f, eV per formula unit: 0.06

Cell lengths 4.436, 4.436, 4.436 Å; angles 60.00, 60.00, 60.00 degrees
Atoms (fractional coordinates):
Li  0.000  0.000  0.000
Zn  0.250  0.250  0.250
Cd  0.750  0.750  0.750
Ru  0.500  0.500  0.500

***

Entry 9:
# Li2ZrCdRu

An optimized crystal structure of Li2ZrCdRu (PBE, Alexandria).

Values from the calculation:
ΔE_f, eV per formula unit: 4.40

Cell lengths 4.282, 4.282, 5.562 Å; angles 90.00, 90.00, 90.00 degrees
Atoms (fractional coordinates):
Li  0.000  0.500  0.000
Li  0.500  0.000  0.000
Zr  0.000  0.000  0.500
Cd  0.000  0.000  0.000
Ru  0.500  0.500  0.500

***

Entry 10:
# LiCd3S

An optimized crystal structure of LiCd3S (PBE, Alexandria).

Values from the calculation:
Formation energy (no corrections), meV per atom: 358
Energy above the most stable polymorph in this dataset, eV/atom: 0.077

Cell lengths 4.909, 4.909, 4.909 Å; angles 90.00, 90.00, 90.00 degrees
Atoms (fractional coordinates):
Li  0.000  0.000  0.000
Cd  0.000  0.000  0.500
Cd  0.000  0.500  0.000
Cd  0.500  0.000  0.000
S  0.500  0.500  0.500

***

Entry 11:
# LiCd3S

An optimized crystal structure of LiCd3S (PBE, Alexandria).

Values from the calculation:
Formation energy (no corrections), meV per atom: 281
Energy above the most stable polymorph in this dataset, eV/atom: 0.000

Cell lengths 5.286, 5.286, 5.286 Å; angles 90.00, 90.00, 90.00 degrees
Atoms (fractional coordinates):
Li  0.000  0.000  0.000
Cd  0.000  0.500  0.500
Cd  0.500  0.000  0.500
Cd  0.500  0.500  0.000
S  0.500  0.500  0.500

***

Entry 12:
# LiCdS3

An optimized crystal structure of LiCdS3 (PBE, Alexandria).

Values from the calculation:
Formation energy (no corrections), meV per atom: 295

Cell lengths 5.007, 5.007, 5.007 Å; angles 90.00, 90.00, 90.00 degrees
Atoms (fractional coordinates):
Li  0.000  0.000  0.000
Cd  0.500  0.500  0.500
S  0.000  0.500  0.500
S  0.500  0.000  0.500
S  0.500  0.500  0.000

***

Entry 13:
# LiCd2S

An optimized crystal structure of LiCd2S (PBE, Alexandria).

Values from the calculation:
Formation energy (no corrections), meV per atom: -385

Cell lengths 6.805, 6.805, 6.805 Å; angles 96.96, 96.96, 139.24 degrees
Atoms (fractional coordinates):
Li  0.000  0.000  0.000
Li  0.750  0.250  0.500
Cd  0.208  0.625  0.083
Cd  0.375  0.458  0.583
Cd  0.542  0.125  0.917
Cd  0.875  0.792  0.417
S  0.250  0.750  0.500
S  0.500  0.500  0.000

***

Entry 14:
# LiCdSbS4

An optimized crystal structure of LiCdSbS4 (PBE, Alexandria).

Values from the calculation:
Formation energy (no corrections), meV per atom: -455

Cell lengths 7.692, 7.692, 7.692 Å; angles 120.83, 119.70, 89.55 degrees
Atoms (fractional coordinates):
Li  0.350  0.100  0.250
Li  0.650  0.900  0.750
Cd  0.000  0.500  0.500
Cd  0.500  0.500  0.000
Sb  0.000  0.000  0.500
Sb  0.000  0.500  0.000
S  0.227  0.238  0.510
S  0.227  0.717  0.990
S  0.229  0.247  0.982
S  0.235  0.753  0.482
S  0.765  0.247  0.518
S  0.771  0.753  0.018
S  0.773  0.283  0.010
S  0.773  0.762  0.490

***

Entry 15:
# LiCd2SiS4

An optimized crystal structure of LiCd2SiS4 (PBE, Alexandria).

Values from the calculation:
Formation energy (no corrections), meV per atom: -611

Cell lengths 7.099, 7.099, 7.099 Å; angles 132.22, 132.22, 69.89 degrees
Atoms (fractional coordinates):
Li  0.000  0.000  0.000
Cd  0.250  0.750  0.500
Cd  0.750  0.250  0.500
Si  0.500  0.500  0.000
S  0.173  0.173  0.558
S  0.385  0.827  0.000
S  0.615  0.615  0.442
S  0.827  0.385  0.000

***

Entry 16:
# Li2CdSiS4

An optimized crystal structure of Li2CdSiS4 (PBE, Alexandria).

Values from the calculation:
Formation energy (no corrections), meV per atom: -982

Cell lengths 7.691, 6.861, 6.403 Å; angles 90.00, 90.00, 90.00 degrees
Atoms (fractional coordinates):
Li  0.246  0.171  0.000
Li  0.254  0.829  0.500
Li  0.746  0.829  0.500
Li  0.754  0.171  0.000
Cd  0.000  0.356  0.498
Cd  0.500  0.644  0.998
Si  0.000  0.677  0.999
Si  0.500  0.323  0.499
S  0.000  0.378  0.901
S  0.000  0.694  0.333
S  0.223  0.830  0.881
S  0.277  0.170  0.381
S  0.500  0.306  0.833
S  0.500  0.622  0.401
S  0.723  0.170  0.381
S  0.777  0.830  0.881

***

Entry 17:
# LiSm2CdS4

An optimized crystal structure of LiSm2CdS4 (PBE, Alexandria).

Values from the calculation:
Formation energy (no corrections), meV per atom: -1484

Cell lengths 6.810, 3.955, 6.900 Å; angles 90.00, 108.64, 90.00 degrees
Atoms (fractional coordinates):
Li  0.000  0.000  0.000
Sm  0.000  0.500  0.500
Sm  0.500  0.000  0.500
Cd  0.500  0.500  0.000
S  0.249  0.000  0.756
S  0.251  0.500  0.244
S  0.749  0.500  0.756
S  0.751  0.000  0.244

***

Entry 18:
# LiCd2SnS4

An optimized crystal structure of LiCd2SnS4 (PBE, Alexandria).

Values from the calculation:
Formation energy (no corrections), meV per atom: -642

Cell lengths 7.244, 7.244, 7.244 Å; angles 132.27, 132.27, 69.80 degrees
Atoms (fractional coordinates):
Li  0.000  0.000  0.000
Cd  0.250  0.750  0.500
Cd  0.750  0.250  0.500
Sn  0.500  0.500  0.000
S  0.117  0.117  0.477
S  0.361  0.883  0.000
S  0.639  0.639  0.523
S  0.883  0.361  0.000

***

Entry 19:
# Sr2LiCdS

An optimized crystal structure of Sr2LiCdS (PBE, Alexandria).

Values from the calculation:
Formation energy (no corrections), meV per atom: -837

Cell lengths 5.868, 5.868, 4.588 Å; angles 90.00, 90.00, 90.00 degrees
Atoms (fractional coordinates):
Sr  0.000  0.500  0.000
Sr  0.500  0.000  0.000
Li  0.000  0.000  0.500
Cd  0.500  0.500  0.500
S  0.000  0.000  0.000

***

Entry 20:
# LiTb2CdS4

An optimized crystal structure of LiTb2CdS4 (PBE, Alexandria).

Values from the calculation:
Formation energy (no corrections), meV per atom: -1504

Cell lengths 6.728, 3.901, 6.929 Å; angles 90.00, 108.46, 90.00 degrees
Atoms (fractional coordinates):
Li  0.000  0.000  0.000
Tb  0.000  0.500  0.500
Tb  0.500  0.000  0.500
Cd  0.500  0.500  0.000
S  0.246  0.000  0.746
S  0.253  0.500  0.253
S  0.747  0.500  0.747
S  0.754  0.000  0.254

***

| no. | total magnetization (μB per atom) | volume (Å³ per cell) |
| --- | --- | --- |
| 1 | 0.193 | 94.6 |
| 2 | 0.000 | 69.1 |
| 3 | 0.000 | 78.7 |
| 4 | 0.000 | 80.5 |
| 5 | 0.000 | 74.4 |
| 6 | 0.000 | 74.2 |
| 7 | 0.000 | 76.6 |
| 8 | 0.000 | 61.7 |
| 9 | 0.000 | 102.0 |
| 10 | 0.000 | 118.3 |
| 11 | 0.000 | 147.7 |
| 12 | 0.000 | 125.5 |
| 13 | 0.000 | 192.8 |
| 14 | 0.000 | 320.5 |
| 15 | 0.000 | 192.4 |
| 16 | 0.000 | 337.8 |
| 17 | 0.000 | 176.1 |
| 18 | 0.000 | 204.1 |
| 19 | 0.074 | 158.0 |
| 20 | 0.000 | 172.5 |